This record from Alexandria describes crystalline Pm4BeIn2 at its relaxed geometry. The functional is PBE-GGA.

Cell: 5.2105 5.2105 15.9711 Å, 90.00 90.00 90.00°
Closest atoms and distances in Å follow each position.
Space group I4/mmm (No. 139)
Unique sites:
Pm 0.0000 0.0000 0.1787  1 Be 2.85, 1 In 3.12
Pm 0.0000 0.5000 0.0000  2 Be 2.61
Be 0.0000 0.0000 0.0000  6 Pm 2.61-2.85
In 0.0000 0.0000 0.3742  5 Pm 3.12-3.29

Values from the calculation:
Magnetic moment (μB/cell): 0.00
Formation energy from the elements (eV per atom): -0.015